Ce7PbBr12 | PBE | relaxed

abc: 9.693 9.693 9.693
angles: 109.29 109.29 109.29
Fractional positions:
Ce: 0.000 0.000 0.000
Ce: 0.132 0.355 0.433
Ce: 0.355 0.433 0.132
Ce: 0.433 0.132 0.355
Ce: 0.567 0.868 0.645
Ce: 0.645 0.567 0.868
Ce: 0.868 0.645 0.567
Pb: 0.500 0.500 0.500
Br: 0.012 0.339 0.097
Br: 0.097 0.012 0.339
Br: 0.201 0.718 0.570
Br: 0.282 0.430 0.799
Br: 0.339 0.097 0.012
Br: 0.430 0.799 0.282
Br: 0.570 0.201 0.718
Br: 0.661 0.903 0.988
Br: 0.718 0.570 0.201
Br: 0.799 0.282 0.430
Br: 0.903 0.988 0.661
Br: 0.988 0.661 0.903

Properties
- Formation energy without anion corrections: -1.483 eV per atom
- Density of states at the Fermi level: 2.552 states/eV/atom
- Space-group type: R-3